Entry 1:
## MnBeW3 (GGA-PBE)

Data for crystalline MnBeW3 at its relaxed geometry.

## Properties
E, eV per atom: -9.32
Formation energy from the elements, eV/atom: 1.029
Distance to the lowest polymorph of the same formula, meV/atom: 0
Density of states at the Fermi level, states/eV per atom: 1.36
Space-group type: Pm-3m (221)
Crystal system: cubic

a = 4.1803 Å, b = 4.1803 Å, c = 4.1803 Å
α = 90.00°, β = 90.00°, γ = 90.00°
With the nearest neighbours (Å) after each atom.
Fractional positions:
W: 0.0000 0.0000 0.5000  2 Be 2.09
W: 0.5000 0.0000 0.0000  2 Be 2.09
W: 0.0000 0.5000 0.0000  2 Be 2.09
Mn: 0.5000 0.5000 0.5000  12 W 2.96
Be: 0.0000 0.0000 0.0000  6 W 2.09



Entry 2:
## CsP3Se (GGA-PBE)

Data for crystalline CsP3Se at its relaxed geometry.

## Properties
E, eV per atom: -1.79
Energy relative to the elements, uncorrected, eV per atom: 2.325
Distance to the lowest polymorph of the same formula, meV/atom: 1559
Density of states at the Fermi level, states/eV per atom: 1.55
Space-group type: Pm-3m (221)
Crystal system: cubic

a = 5.4793 Å, b = 5.4793 Å, c = 5.4793 Å
α = 90.00°, β = 90.00°, γ = 90.00°
With the nearest neighbours (Å) after each atom.
Fractional positions:
P: 0.0000 0.5000 0.0000  2 Cs 2.74
P: 0.5000 0.0000 0.0000  2 Cs 2.74
P: 0.0000 0.0000 0.5000  2 Cs 2.74
Se: 0.5000 0.5000 0.5000  12 P 3.87
Cs: 0.0000 0.0000 0.0000  6 P 2.74



Entry 3:
## Zr3Mn7Fe2 (GGA-PBE)

Data for crystalline Zr3Mn7Fe2 at its relaxed geometry.

## Properties
E, eV per atom: -9.02
Formation energy from the elements, eV/atom: -0.124
Density of states at the Fermi level, states/eV per atom: 1.02
Space-group type: R-3m (166)
Crystal system: trigonal

a = 4.8295 Å, b = 4.8295 Å, c = 8.6280 Å
α = 73.75°, β = 73.75°, γ = 60.00°
With the nearest neighbours (Å) after each atom.
Fractional positions:
Mn: 0.4159 0.4159 0.2462  5 Mn 2.39-2.51, 2 Fe 2.45
Mn: 0.5841 0.5841 0.7538  5 Mn 2.39-2.51, 2 Fe 2.45
Mn: 0.9220 0.4159 0.2462  5 Mn 2.39-2.51, 2 Fe 2.45
Mn: 0.0780 0.5841 0.7538  5 Mn 2.39-2.51, 2 Fe 2.45
Mn: 0.5841 0.0780 0.7538  5 Mn 2.39-2.51, 2 Fe 2.45
Mn: 0.5000 0.5000 0.5000  6 Mn 2.51
Mn: 0.4159 0.9220 0.2462  5 Mn 2.39-2.51, 2 Fe 2.45
Zr: 0.1408 0.1408 0.5775  12 Mn 2.81-3.04, 3 Zr 3.06
Zr: 0.0000 0.0000 0.0000  6 Fe 2.79
Zr: 0.8592 0.8592 0.4225  12 Mn 2.81-3.04, 3 Zr 3.06
Fe: 0.6662 0.6662 0.0014  6 Mn 2.45
Fe: 0.3338 0.3338 0.9986  6 Mn 2.45



Entry 4:
## CsSr3Pd (GGA-PBE)

Data for crystalline CsSr3Pd at its relaxed geometry.

## Properties
E, eV per atom: -2.24
Formation energy from the elements, eV/atom: -0.024
Distance to the lowest polymorph of the same formula, meV/atom: 216
Density of states at the Fermi level, states/eV per atom: 0.71
Space-group type: Pnma (62)
Crystal system: orthorhombic

a = 7.7263 Å, b = 11.9753 Å, c = 11.4291 Å
α = 90.00°, β = 90.00°, γ = 90.00°
With the nearest neighbours (Å) after each atom.
Fractional positions:
Sr: 0.4958 0.9058 0.6716  2 Pd 3.00-3.33
Sr: 0.8226 0.7500 0.1403  1 Pd 3.23
Sr: 0.0042 0.4058 0.1716  2 Pd 3.00-3.33
Sr: 0.6774 0.2500 0.6403  1 Pd 3.23
Sr: 0.9958 0.9058 0.8284  2 Pd 3.00-3.33
Sr: 0.5042 0.4058 0.3284  2 Pd 3.00-3.33
Sr: 0.4958 0.5942 0.6716  2 Pd 3.00-3.33
Sr: 0.1774 0.2500 0.8597  1 Pd 3.23
Sr: 0.3226 0.7500 0.3597  1 Pd 3.23
Sr: 0.9958 0.5942 0.8284  2 Pd 3.00-3.33
Sr: 0.5042 0.0942 0.3284  2 Pd 3.00-3.33
Sr: 0.0042 0.0942 0.1716  2 Pd 3.00-3.33
Pd: 0.1985 0.7500 0.6298  5 Sr 3.00-3.33
Pd: 0.8015 0.2500 0.3702  5 Sr 3.00-3.33
Pd: 0.6985 0.7500 0.8702  5 Sr 3.00-3.33
Pd: 0.3015 0.2500 0.1298  5 Sr 3.00-3.33
Cs: 0.5000 0.5000 0.0000  2 Pd 3.68, 2 Sr 3.92
Cs: 0.0000 0.0000 0.5000  2 Pd 3.68, 2 Sr 3.92
Cs: 0.0000 0.5000 0.5000  2 Pd 3.68, 2 Sr 3.92
Cs: 0.5000 0.0000 0.0000  2 Pd 3.68, 2 Sr 3.92



Entry 5:
## GdDyYTh (GGA-PBE)

Data for crystalline GdDyYTh at its relaxed geometry.

## Properties
E, eV per atom: -8.01
Formation energy from the elements, eV/atom: 0.136
Distance to the lowest polymorph of the same formula, meV/atom: 0
Density of states at the Fermi level, states/eV per atom: 1.99
Space-group type: F-43m (216)
Crystal system: cubic

a = 5.6830 Å, b = 5.6830 Å, c = 5.6830 Å
α = 60.00°, β = 60.00°, γ = 60.00°
With the nearest neighbours (Å) after each atom.
Fractional positions:
Y: 0.2500 0.2500 0.2500  4 Gd 3.48, 4 Th 3.48
Dy: 0.7500 0.7500 0.7500  4 Th 3.48, 4 Gd 3.48
Th: 0.0000 0.0000 0.0000  4 Dy 3.48, 4 Y 3.48
Gd: 0.5000 0.5000 0.5000  4 Dy 3.48, 4 Y 3.48



Entry 6:
## PuGe2F8 (GGA-PBE)

Data for crystalline PuGe2F8 at its relaxed geometry.

## Properties
E, eV per atom: -6.16
Energy relative to the elements, uncorrected, eV per atom: -2.658
Density of states at the Fermi level, states/eV per atom: 0.29
Space-group type: C2/m (12)
Crystal system: monoclinic

a = 4.9383 Å, b = 7.4121 Å, c = 7.4121 Å
α = 45.77°, β = 100.43°, γ = 100.43°
With the nearest neighbours (Å) after each atom.
Fractional positions:
F: 0.6830 0.6666 0.1820  1 Ge 1.98
F: 0.3170 0.3334 0.8180  1 Ge 1.98
F: 0.1945 0.3843 0.3843  1 Ge 1.80
F: 0.6830 0.1820 0.6666  1 Ge 1.98
F: 0.3170 0.8180 0.3334  1 Ge 1.98
F: 0.8055 0.6157 0.6157  1 Ge 1.80
F: 0.8521 0.1299 0.1299  1 Pu 2.05
F: 0.1479 0.8701 0.8701  1 Pu 2.05
Pu: 0.0000 0.0000 0.0000  6 F 2.05-2.26
Ge: 0.5015 0.3318 0.3318  3 F 1.80-1.98
Ge: 0.4985 0.6682 0.6682  3 F 1.80-1.98